A plane-wave DFT calculation with GGA-PBE was carried out for crystalline Mn3Re5 at its relaxed geometry.

Lattice parameters (Å, degrees): 7.1919 7.1919 7.1919 96.37 96.37 141.10
With the nearest neighbours (Å) after each atom.
Positions (direct):
Mn  0.1753  0.6753  0.8506  10 Re 2.49-2.78
Mn  0.2500  0.2500  0.0000  2 Mn 2.39, 8 Re 2.54
Mn  0.3247  0.1753  0.5000  10 Re 2.49-2.78
Mn  0.6753  0.8247  0.5000  10 Re 2.49-2.78
Mn  0.7500  0.7500  0.0000  2 Mn 2.39, 8 Re 2.54
Mn  0.8247  0.3247  0.1494  10 Re 2.49-2.78
Re  0.0695  0.2228  0.2924  6 Mn 2.49-2.78, 2 Re 2.74
Re  0.2228  0.9305  0.1533  6 Mn 2.49-2.78, 2 Re 2.74
Re  0.2500  0.7500  0.5000  2 Re 2.39, 4 Mn 2.66
Re  0.2772  0.4305  0.7076  6 Mn 2.49-2.78, 2 Re 2.74
Re  0.4305  0.7228  0.1533  6 Mn 2.49-2.78, 2 Re 2.74
Re  0.5695  0.2772  0.8467  6 Mn 2.49-2.78, 2 Re 2.74
Re  0.7228  0.5695  0.2924  6 Mn 2.49-2.78, 2 Re 2.74
Re  0.7500  0.2500  0.5000  2 Re 2.39, 4 Mn 2.66
Re  0.7772  0.0695  0.8467  6 Mn 2.49-2.78, 2 Re 2.74
Re  0.9305  0.7772  0.7076  6 Mn 2.49-2.78, 2 Re 2.74

- E_tot: -178.3 eV per cell
- Total magnetic moment: 8.01 μB/cell
- Polymorph energy (0 for the lowest one): 0 meV per atom


A plane-wave DFT calculation with GGA-PBE was carried out for crystalline MnRe5 at its relaxed geometry.

Lattice parameters (Å, degrees): 5.1168 5.1168 5.1168 60.00 60.00 60.00
With the nearest neighbours (Å) after each atom.
Positions (direct):
Mn  0.0000  0.0000  0.0000  16 Re 3.00-3.13
Re  0.3738  0.3738  0.3738  6 Re 2.53-2.58
Re  0.3738  0.3738  0.8785  6 Re 2.53-2.58
Re  0.3738  0.8785  0.3738  6 Re 2.53-2.58
Re  0.7500  0.7500  0.7500  12 Re 3.00, 4 Mn 3.13
Re  0.8785  0.3738  0.3738  6 Re 2.53-2.58

- E_tot: -68.9 eV per cell
- Total magnetic moment: 2.53 μB/cell
- Polymorph energy (0 for the lowest one): 377 meV per atom


A plane-wave DFT calculation with GGA-PBE was carried out for crystalline Mn3Re at its relaxed geometry.

Lattice parameters (Å, degrees): 8.4509 8.4509 8.4509 17.80 17.80 17.80
With the nearest neighbours (Å) after each atom.
Positions (direct):
Mn  0.0000  0.0000  0.0000  12 Mn 2.47-2.61
Mn  0.2548  0.2548  0.2548  9 Mn 2.47-2.61, 3 Re 2.67
Mn  0.7452  0.7452  0.7452  9 Mn 2.47-2.61, 3 Re 2.67
Re  0.5000  0.5000  0.5000  6 Re 2.61, 6 Mn 2.67

- E_tot: -39.2 eV per cell
- Total magnetic moment: 0.77 μB/cell


A plane-wave DFT calculation with GGA-PBE was carried out for crystalline Mn4Re3 at its relaxed geometry.

Lattice parameters (Å, degrees): 10.3227 10.3227 10.3227 163.21 163.21 23.83
With the nearest neighbours (Å) after each atom.
Positions (direct):
Mn  0.0713  0.0713  0.0000  4 Mn 2.54, 5 Re 2.57-2.74
Mn  0.3607  0.3607  0.0000  5 Re 2.53-2.81, 4 Mn 2.54
Mn  0.6393  0.6393  0.0000  5 Re 2.53-2.81, 4 Mn 2.54
Mn  0.9287  0.9287  0.0000  4 Mn 2.54, 5 Re 2.57-2.74
Re  0.2070  0.2070  0.0000  5 Mn 2.53-2.74, 4 Re 2.75
Re  0.5000  0.5000  0.0000  10 Mn 2.57-2.81
Re  0.7930  0.7930  0.0000  5 Mn 2.53-2.74, 4 Re 2.75

- E_tot: -73.4 eV per cell
- Total magnetic moment: 6.77 μB/cell
- Polymorph energy (0 for the lowest one): 0 meV per atom


| no. | energy of formation (meV/atom) | Fermi-level density of states (states/eV per atom) |
| --- | --- | --- |
| 1 | 74.0 | 0.9165 |
| 2 | 419.4 | 1.0335 |
| 3 | 179.1 | 1.3304 |
| 4 | 84.5 | 0.9000 |